WCl3O after structural relaxation, computed with GGA+U.

Computed properties:
The energy is -3.55 eV/atom. Its crystal system is cubic. The symmetry is No. 221.

a b c (Å): 5.028 5.028 5.028
angles (deg): 90.00 90.00 90.00
Each line ends with the local moment (μB).
Sites, in units of the cell vectors:
O 0.500 0.500 0.500  1.50
Cl 0.500 0.000 0.000  0.10
Cl 0.000 0.000 0.500  0.03
Cl 0.000 0.500 0.000  0.04
W 0.000 0.000 0.000  2.71